Entry 1:
! PBE LiMg3Hg, relaxed; values from VASP
&SYSTEM
  ibrav = 0, nat = 20, ntyp = 3
/
ATOMIC_SPECIES
Li 6.94 Li.upf
Mg 24.30 Mg.upf
Hg 200.59 Hg.upf
CELL_PARAMETERS angstrom
7.132 -2.727 0.000
7.132 2.727 0.000
-1.465 0.000 10.810
ATOMIC_POSITIONS crystal
Li 0.039 0.790 0.903
Li 0.210 0.961 0.597
Li 0.790 0.039 0.403
Li 0.961 0.210 0.097
Mg 0.020 0.795 0.166
Mg 0.174 0.395 0.705
Mg 0.205 0.980 0.334
Mg 0.267 0.528 0.466
Mg 0.395 0.174 0.205
Mg 0.472 0.733 0.034
Mg 0.528 0.267 0.966
Mg 0.605 0.826 0.795
Mg 0.733 0.472 0.534
Mg 0.795 0.020 0.666
Mg 0.826 0.605 0.295
Mg 0.980 0.205 0.834
Hg 0.000 0.500 0.000
Hg 0.410 0.590 0.750
Hg 0.500 0.000 0.500
Hg 0.590 0.410 0.250
! Crystal system: monoclinic
! DOS(E_F) in states/eV per cell: 5.92
! Energy above the most stable polymorph in this dataset in eV per atom: 0.058


Entry 2:
! PBE KTa2Hg, relaxed; values from VASP
&SYSTEM
  ibrav = 0, nat = 4, ntyp = 3
/
ATOMIC_SPECIES
K 39.10 K.upf
Ta 180.95 Ta.upf
Hg 200.59 Hg.upf
CELL_PARAMETERS angstrom
1.489 0.860 11.688
-1.489 0.860 11.688
0.000 -1.719 11.688
ATOMIC_POSITIONS crystal
K 0.000 0.000 0.000
Ta 0.239 0.239 0.239
Ta 0.761 0.761 0.761
Hg 0.500 0.500 0.500
! Crystal system: trigonal
! E_tot in eV per atom: -5.41
! DOS(E_F) in states/eV per cell: 3.10


Entry 3:
! PBE KAuI2, relaxed; values from VASP
&SYSTEM
  ibrav = 0, nat = 4, ntyp = 3
/
ATOMIC_SPECIES
K 39.10 K.upf
Au 196.97 Au.upf
I 126.90 I.upf
CELL_PARAMETERS angstrom
2.835 1.637 8.163
-2.835 1.637 8.163
0.000 -3.273 8.163
ATOMIC_POSITIONS crystal
K 0.000 0.000 0.000
Au 0.500 0.500 0.500
I 0.395 0.395 0.395
I 0.605 0.605 0.605
! E_form (uncorrected) in eV/atom: -0.757
! Crystal system: trigonal
! DOS(E_F) in states/eV per cell: 0.00
! Energy above the most stable polymorph in this dataset in eV per atom: 0.000